Material: Zn2HgPb
Method: DFT, PBE
State: optimized geometry

Structure (extended XYZ):
```
4
Lattice="-0.3054 -1.9766 -2.9924 2.2591 -4.4172 2.6872 -4.1900 -1.3430 1.3148" Properties=species:S:1:pos:R:3 pbc="T T T"
Hg -2.2477 -1.6598 -0.8388
Pb -0.9655 -2.8801 2.0010
Zn 0.9768 -3.1969 -0.1526
Zn 0.0000 0.0000 0.0000
```

Summary:
The calculation puts the density of states at the Fermi level at 0.3124 states/eV/atom. Its space group is No. 47. The calculation puts the size of the total moment at 0.000 μB per atom. As for the formation energy: 188 meV per atom.